NaCa2YF after structural relaxation, computed with PBE-GGA.

Its space group is P4/mmm (123).

Cell lengths 4.9732, 4.9732, 5.8459 Å; angles 90.00, 90.00, 90.00 degrees
With the nearest neighbours (Å) after each atom.
Atoms (fractional coordinates):
Na  0.0000  0.0000  0.0000  4 Y 3.52, 8 Ca 3.84
Ca  0.0000  0.5000  0.5000  2 F 2.49
Ca  0.5000  0.0000  0.5000  2 F 2.49
Y  0.5000  0.5000  0.0000  2 F 2.92
F  0.5000  0.5000  0.5000  4 Ca 2.49

NaCaZrF2 after structural relaxation, computed with PBE-GGA.

Its space group is P4/mmm (123).

Cell lengths 4.4075, 4.4075, 5.6806 Å; angles 90.00, 90.00, 90.00 degrees
With the nearest neighbours (Å) after each atom.
Atoms (fractional coordinates):
Na  0.0000  0.0000  0.0000  4 F 2.20
Ca  0.0000  0.0000  0.5000  2 Na 2.84, 4 Zr 3.12
Zr  0.5000  0.5000  0.5000  4 Ca 3.12
F  0.0000  0.5000  0.0000  2 Na 2.20
F  0.5000  0.0000  0.0000  2 Na 2.20

CaNb2F after structural relaxation, computed with PBE-GGA.

Its space group is I4_1/amd (141). The value obtained for the offset from the most stable computed form is 0.000 eV per atom.

Cell lengths 7.0749, 7.0749, 7.0749 Å; angles 131.34, 131.34, 71.28 degrees
With the nearest neighbours (Å) after each atom.
Atoms (fractional coordinates):
Ca  0.3750  0.6250  0.7500  8 Nb 3.56
Ca  0.6250  0.3750  0.2500  8 Nb 3.56
Nb  0.0000  0.0000  0.0000  2 F 2.05
Nb  0.0000  0.0000  0.5000  2 F 2.05
Nb  0.0000  0.5000  0.0000  2 F 2.05
Nb  0.5000  0.0000  0.5000  2 F 2.05
F  0.1250  0.8750  0.2500  4 Nb 2.05
F  0.8750  0.1250  0.7500  4 Nb 2.05

Ca2NbF after structural relaxation, computed with PBE-GGA.

Its space group is I-42d (122). The value obtained for the offset from the most stable computed form is 0.000 eV per atom.

Cell lengths 6.4021, 6.4021, 6.4021 Å; angles 113.40, 113.40, 101.86 degrees
With the nearest neighbours (Å) after each atom.
Atoms (fractional coordinates):
Ca  0.0172  0.1250  0.3922  2 F 2.26
Ca  0.3750  0.9828  0.1078  2 F 2.26
Ca  0.7328  0.6250  0.6078  2 F 2.26
Ca  0.8750  0.2672  0.8922  2 F 2.26
Nb  0.2500  0.7500  0.5000  4 Ca 3.23
Nb  0.5000  0.5000  0.0000  4 Ca 3.23
F  0.0000  0.0000  0.0000  4 Ca 2.26
F  0.7500  0.2500  0.5000  4 Ca 2.26

Ca2NbF8 after structural relaxation, computed with PBE-GGA.

Its space group is P-3m1 (164).

Cell lengths 6.9141, 6.9141, 4.4249 Å; angles 90.00, 90.00, 120.00 degrees
With the nearest neighbours (Å) after each atom.
Atoms (fractional coordinates):
Ca  0.3333  0.6667  0.2459  5 F 2.20-2.26
Ca  0.6667  0.3333  0.7541  5 F 2.20-2.26
Nb  0.0000  0.0000  0.5000  6 F 2.01
F  0.1447  0.2894  0.2679  1 Nb 2.01
F  0.1447  0.8553  0.2679  1 Nb 2.01
F  0.2894  0.1447  0.7321  1 Nb 2.01
F  0.3333  0.6667  0.7478  2 Ca 2.20-2.22
F  0.6667  0.3333  0.2522  2 Ca 2.20-2.22
F  0.7106  0.8553  0.2679  1 Nb 2.01
F  0.8553  0.1447  0.7321  1 Nb 2.01
F  0.8553  0.7106  0.7321  1 Nb 2.01

CaNb3F after structural relaxation, computed with PBE-GGA.

Its space group is Pm-3m (221).

Cell lengths 4.5128, 4.5128, 4.5128 Å; angles 90.00, 90.00, 90.00 degrees
With the nearest neighbours (Å) after each atom.
Atoms (fractional coordinates):
Ca  0.0000  0.0000  0.0000  12 Nb 3.19
Nb  0.0000  0.5000  0.5000  2 F 2.26
Nb  0.5000  0.0000  0.5000  2 F 2.26
Nb  0.5000  0.5000  0.0000  2 F 2.26
F  0.5000  0.5000  0.5000  6 Nb 2.26

Number 1: uncorrected formation energy -0.76 eV/atom. Number 2: uncorrected formation energy -0.67 eV/atom. Number 3: uncorrected formation energy 0.25 eV/atom. Number 4: uncorrected formation energy -0.58 eV/atom. Number 5: uncorrected formation energy -3.38 eV/atom. Number 6: uncorrected formation energy 0.21 eV/atom.